Record 1
Entry from Alexandria via LeMat-Bulk: crystalline LaSn2IrRh2 at its relaxed geometry (GGA-PBE).

Unit cell a=5.061 b=5.061 c=5.472 alpha=90.00 beta=90.00 gamma=90.00
Last column: magnetic moment on the atom in μB.
Sites, in units of the cell vectors:
La  0.000  0.000  0.500  0.00
Sn  0.500  0.000  0.000  0.00
Sn  0.000  0.500  0.000  0.00
Ir  0.000  0.000  0.000  -0.01
Rh  0.500  0.500  0.743  0.26
Rh  0.500  0.500  0.257  0.26

- Space-group type: P4/mmm (123)
- ΔH_f (0 K): -0.167 eV/atom

Record 2
Entry from Alexandria via LeMat-Bulk: crystalline LaTbIrRh at its relaxed geometry (GGA-PBE).

Unit cell a=4.979 b=4.979 c=4.979 alpha=60.00 beta=60.00 gamma=60.00
Sites, in units of the cell vectors:
Rh  0.500  0.500  0.500
Ir  0.000  0.000  0.000
Tb  0.750  0.750  0.750
La  0.250  0.250  0.250

- Space-group type: F-43m (216)
- ΔH_f (0 K): -0.709 eV/atom

Record 3
Entry from Alexandria via LeMat-Bulk: crystalline La4Te2IrRh at its relaxed geometry (GGA-PBE).

Unit cell a=4.300 b=7.436 c=8.010 alpha=108.08 beta=90.00 gamma=90.00
Sites, in units of the cell vectors:
La  0.500  0.238  0.210
La  0.500  0.762  0.790
La  0.000  0.265  0.790
La  0.000  0.735  0.210
Te  0.500  0.000  0.500
Te  0.000  0.500  0.500
Ir  0.500  0.500  0.000
Rh  0.000  0.000  0.000

- Formation energy without anion corrections: -1.1528 eV/atom
- Space-group type: P2/m (10)

Record 4
Entry from Alexandria via LeMat-Bulk: crystalline La6Te3IrRh2 at its relaxed geometry (GGA-PBE).

Unit cell a=7.437 b=7.437 c=8.006 alpha=98.88 beta=98.88 gamma=119.98
Sites, in units of the cell vectors:
La  0.930  0.598  0.790
La  0.739  0.739  0.211
La  0.070  0.402  0.210
La  0.598  0.930  0.790
La  0.261  0.261  0.789
La  0.402  0.070  0.210
Te  0.168  0.832  0.500
Te  0.832  0.168  0.500
Te  0.500  0.500  0.500
Ir  0.000  0.000  0.000
Rh  0.334  0.666  0.000
Rh  0.666  0.334  0.000

- Formation energy without anion corrections: -1.1499 eV/atom
- Space-group type: C2/m (12)